Record 1
Entry from Alexandria via LeMat-Bulk: a relaxed Cs2B2PdO6 crystal (PBE).

Properties
- Raw total energy: -67.15 eV/f.u.
- Raw formation energy: -17.15 eV per formula unit

a b c (Å): 5.2461 5.2461 23.5680
angles (deg): 90.00 90.00 120.00
With the nearest neighbours (Å) after each atom.
Space group R-3m (No. 166, hexagonal axes)
Asymmetric unit:
Cs: 0.0000 0.0000 0.2225  6 O 2.98
B: 0.0000 0.0000 0.3774  3 O 1.39
Pd: 0.0000 0.0000 0.0000  6 O 2.04
O: 0.0287 0.5143 0.2821  1 B 1.39

***

Record 2
Entry from Alexandria via LeMat-Bulk: a relaxed CsPmB2O6 crystal (PBE).

Properties
- Raw total energy: -71.48 eV/f.u.
- Raw formation energy: -22.77 eV per formula unit

a b c (Å): 9.5705 10.3896 7.9766
angles (deg): 90.00 111.43 90.00
With the nearest neighbours (Å) after each atom.
Space group C2/c (No. 15)
Asymmetric unit:
Cs: 0.0000 0.1166 0.2500  8 O 3.08-3.45
Pm: 0.0000 0.3318 0.7500  6 O 2.35-2.37
B: 0.2145 0.3975 0.2079  3 O 1.36-1.37
O: 0.1058 0.3375 0.0671  1 B 1.37
O: 0.1518 0.1638 0.7099  1 B 1.36
O: 0.1843 0.4838 0.7589  1 B 1.36

***

Record 3
Entry from Alexandria via LeMat-Bulk: a relaxed Cs2PmB2O6 crystal (PBE).

Properties
- Raw total energy: -75.98 eV/f.u.
- Raw formation energy: -26.41 eV per formula unit

a b c (Å): 5.7305 5.7305 21.0928
angles (deg): 90.00 90.00 120.00
With the nearest neighbours (Å) after each atom.
Space group R-3m (No. 166, hexagonal axes)
Asymmetric unit:
Cs: 0.0000 0.0000 0.2126  6 O 3.11
Pm: 0.0000 0.0000 0.0000  6 O 2.36
B: 0.0000 0.0000 0.3976  3 O 1.38
O: 0.0549 0.5274 0.2686  1 B 1.38

***

Record 4
Entry from Alexandria via LeMat-Bulk: a relaxed Cs2PrBO4 crystal (PBE).

Properties
- Raw total energy: -48.80 eV/f.u.
- Raw formation energy: -15.80 eV per formula unit

a b c (Å): 5.3700 11.9149 25.1623
angles (deg): 90.00 90.00 90.00
With the nearest neighbours (Å) after each atom.
Space group Fddd (No. 70, origin choice 2)
Asymmetric unit:
Cs: 0.1250 0.1250 0.3055  4 O 3.13-3.38
Pr: 0.1250 0.1250 0.1250  4 O 2.23
B: 0.1250 0.1250 0.6250  4 O 1.54
O: 0.0341 0.2978 0.8398  1 B 1.54

***

> Look up the raw formation energy of the second one.

-22.77 eV per formula unit

***

> Which value of raw total energy does entry 4 give?

-48.80 eV/f.u.

***

> What is the formula in the first record?

Cs2B2PdO6

***

> Which of these has the highest raw formation energy?

Cs2PrBO4